[1]
Ti8TeC2 | the Alexandria database | GGA-PBE | relaxed; uncorrected formation energy = -0.118 eV/atom; spin magnetization = 0.00 μB per formula unit
1.0
-2.3219 2.6467 6.6362
2.3219 -2.6467 6.6362
2.3219 2.6467 -6.6362
Ti Te C
8 1 2
Cartesian
0.0000 0.0000 1.4707
2.3219 1.3823 -1.3445
2.3219 0.0000 3.6091
2.3219 1.3823 1.3445
0.0000 1.2644 5.2917
0.0000 2.6467 3.0271
0.0000 1.2644 7.9807
0.0000 0.0000 11.8016
0.0000 2.6467 0.0000
0.0000 0.0000 3.5358
0.0000 0.0000 9.7366

=====

[2]
TiTeC2 | the Alexandria database | GGA-PBE | relaxed; uncorrected formation energy = 0.900 eV/atom; spin magnetization = 0.00 μB per formula unit
1.0
-2.5220 2.5220 5.0051
2.5220 -2.5220 5.0051
2.5220 2.5220 -5.0051
Ti Te C
2 2 4
Cartesian
0.0000 0.0000 0.0000
0.0000 2.5220 2.5026
2.5220 0.0000 2.5026
0.0000 0.0000 5.0051
3.7831 1.0709 -1.2513
1.0709 1.2610 1.2513
-1.2610 1.4512 3.7539
1.4512 1.2610 6.2564

=====

[3]
TlTe2C | the Alexandria database | GGA-PBE | relaxed; energy above the lowest structure with this stoichiometry = 0.837 eV/atom; uncorrected formation energy = 1.616 eV/atom; spin magnetization = 0.00 μB per formula unit
1.0
0.0000 3.6364 3.6364
3.6364 0.0000 3.6364
3.6364 3.6364 0.0000
Tl Te C
1 2 1
Cartesian
0.0000 0.0000 0.0000
1.8182 1.8182 1.8182
5.4546 5.4546 5.4546
3.6364 3.6364 3.6364